Record 1
{"formula": "Re2IrW", "functional": "PBE", "state": "optimized geometry", "formation_energy_ev_per_fu": 0.21, "magnetic_moment_mub_per_fu": 0.00, "e_above_lowest_polymorph_mev_per_atom": 149, "dft_energy_ev_per_atom": -11.63, "space_group": "P4/mmm, No. 123", "cell": [[2.751, 0.000, 0.000], [0.000, 2.751, 0.000], [0.000, 0.000, 8.027]], "species": ["Re", "Re", "Ir", "W"], "fractional_positions": [[0.000, 0.000, 0.244], [0.000, 0.000, 0.756], [0.500, 0.500, 0.000], [0.500, 0.500, 0.500]]}

---

Record 2
{"formula": "ZnFeIrRh", "functional": "PBE", "state": "optimized geometry", "formation_energy_ev_per_fu": -0.75, "magnetic_moment_mub_per_fu": 4.27, "dft_energy_ev_per_atom": -6.67, "space_group": "F-43m, No. 216", "cell": [[0.000, 3.017, 3.017], [3.017, 0.000, 3.017], [3.017, 3.017, 0.000]], "species": ["Zn", "Fe", "Ir", "Rh"], "fractional_positions": [[0.000, 0.000, 0.000], [0.500, 0.500, 0.500], [0.750, 0.750, 0.750], [0.250, 0.250, 0.250]]}

---

> Which formula does entry 1 have?

Re2IrW

---

Copy entry 1 word for word.
{"formula": "Re2IrW", "functional": "PBE", "state": "optimized geometry", "formation_energy_ev_per_fu": 0.21, "magnetic_moment_mub_per_fu": 0.00, "e_above_lowest_polymorph_mev_per_atom": 149, "dft_energy_ev_per_atom": -11.63, "space_group": "P4/mmm, No. 123", "cell": [[2.751, 0.000, 0.000], [0.000, 2.751, 0.000], [0.000, 0.000, 8.027]], "species": ["Re", "Re", "Ir", "W"], "fractional_positions": [[0.000, 0.000, 0.244], [0.000, 0.000, 0.756], [0.500, 0.500, 0.000], [0.500, 0.500, 0.500]]}